# 1
# Tm2HgPt, relaxed, DFT GGA-PBE
# size of the total moment = 0.0 Bohr magnetons per cell
# ΔH_f (0 K) = -897 meV/atom
# calculated volume = 22.65 A^3/atom
# density of states at the Fermi level = 2.67 states/eV/cell
# uncorrected energy = -0.17338 hartree per atom
data_Tm2HgPt
_chemical_formula_sum 'Tm2 Hg1 Pt1'
_cell_length_a 3.525
_cell_length_b 3.525
_cell_length_c 7.293
_cell_angle_alpha 90.00
_cell_angle_beta 90.00
_cell_angle_gamma 90.00
_space_group_name_H-M_alt 'P 4/m m m'
_space_group_IT_number 123
_space_group_name_Hall '-P 4 2'
loop_
_atom_site_label
_atom_site_fract_x
_atom_site_fract_y
_atom_site_fract_z
_atom_site_occupancy
Tm1 0.000 0.000 0.225 1
Hg1 0.500 0.500 0.500 1
Pt1 0.500 0.500 0.000 1

***

# 2
# LiSiPb2, relaxed, DFT GGA-PBE
# size of the total moment = 0.0 Bohr magnetons per cell
# formation energy without anion corrections = 148 meV per atom
# calculated volume = 23.78 A^3/atom
# density of states at the Fermi level = 1.91 states/eV/cell
# uncorrected energy = -0.13011 hartree per atom
data_LiSiPb2
_chemical_formula_sum 'Li1 Si1 Pb2'
_cell_length_a 3.745
_cell_length_b 3.745
_cell_length_c 6.781
_cell_angle_alpha 90.00
_cell_angle_beta 90.00
_cell_angle_gamma 90.00
_space_group_name_H-M_alt 'P 4/m m m'
_space_group_IT_number 123
_space_group_name_Hall '-P 4 2'
loop_
_atom_site_label
_atom_site_fract_x
_atom_site_fract_y
_atom_site_fract_z
_atom_site_occupancy
Li1 0.000 0.000 0.000 1
Si1 0.000 0.000 0.500 1
Pb1 0.500 0.500 0.261 1

***

# 3
# MgSi, relaxed, DFT GGA-PBE
# size of the total moment = 0.0 Bohr magnetons per cell
# formation energy without anion corrections = 55 meV per atom
# calculated volume = 19.49 A^3/atom
# density of states at the Fermi level = 2.72 states/eV/cell
# uncorrected energy = -0.12694 hartree per atom
data_MgSi
_chemical_formula_sum 'Mg6 Si6'
_cell_length_a 4.732
_cell_length_b 5.336
_cell_length_c 10.043
_cell_angle_alpha 94.74
_cell_angle_beta 102.96
_cell_angle_gamma 106.64
_space_group_name_H-M_alt 'P -1'
_space_group_IT_number 2
_space_group_name_Hall '-P 1'
loop_
_atom_site_label
_atom_site_fract_x
_atom_site_fract_y
_atom_site_fract_z
_atom_site_occupancy
Mg1 0.008 0.152 0.248 1
Mg2 0.208 0.324 0.566 1
Mg3 0.325 0.778 0.139 1
Si1 0.233 0.452 0.837 1
Si2 0.279 0.229 0.036 1
Si3 0.427 0.872 0.589 1

***

# 4
# Ca2AlW, relaxed, DFT GGA-PBE
# size of the total moment = 0.0 Bohr magnetons per cell
# ΔH_f (0 K) = 449 meV/atom
# calculated volume = 23.53 A^3/atom
# density of states at the Fermi level = 7.25 states/eV/cell
# uncorrected energy = -0.17366 hartree per atom
data_Ca2AlW
_chemical_formula_sum 'Ca4 Al2 W2'
_cell_length_a 11.649
_cell_length_b 2.983
_cell_length_c 5.651
_cell_angle_alpha 90.00
_cell_angle_beta 106.53
_cell_angle_gamma 90.00
_space_group_name_H-M_alt 'C 1 m 1'
_space_group_IT_number 8
_space_group_name_Hall 'C -2y'
loop_
_atom_site_label
_atom_site_fract_x
_atom_site_fract_y
_atom_site_fract_z
_atom_site_occupancy
Ca1 0.000 0.000 0.000 1
Ca2 0.196 0.000 0.621 1
Al1 0.262 0.500 0.166 1
W1 0.433 0.000 0.456 1

***

# 5
# CsPb4, relaxed, DFT GGA-PBE
# size of the total moment = 0.0 Bohr magnetons per cell
# ΔH_f (0 K) = -120 meV/atom
# calculated volume = 39.74 A^3/atom
# density of states at the Fermi level = 4.14 states/eV/cell
# uncorrected energy = -0.11970 hartree per atom
data_CsPb4
_chemical_formula_sum 'Cs2 Pb8'
_cell_length_a 5.353
_cell_length_b 5.353
_cell_length_c 13.869
_cell_angle_alpha 90.00
_cell_angle_beta 90.00
_cell_angle_gamma 90.00
_space_group_name_H-M_alt 'I 4/m m m'
_space_group_IT_number 139
_space_group_name_Hall '-I 4 2'
loop_
_atom_site_label
_atom_site_fract_x
_atom_site_fract_y
_atom_site_fract_z
_atom_site_occupancy
Cs1 0.000 0.000 0.000 1
Pb1 0.000 0.000 0.381 1
Pb2 0.000 0.500 0.250 1

***

# 6
# Pm3CdB, relaxed, DFT GGA-PBE
# size of the total moment = 0.0 Bohr magnetons per cell
# ΔH_f (0 K) = -33 meV/atom
# calculated volume = 27.98 A^3/atom
# density of states at the Fermi level = 8.11 states/eV/cell
# uncorrected energy = -0.16175 hartree per atom
data_Pm3CdB
_chemical_formula_sum 'Pm3 Cd1 B1'
_cell_length_a 5.192
_cell_length_b 5.192
_cell_length_c 5.192
_cell_angle_alpha 90.00
_cell_angle_beta 90.00
_cell_angle_gamma 90.00
_space_group_name_H-M_alt 'P m -3 m'
_space_group_IT_number 221
_space_group_name_Hall '-P 4 2 3'
loop_
_atom_site_label
_atom_site_fract_x
_atom_site_fract_y
_atom_site_fract_z
_atom_site_occupancy
Pm1 0.000 0.000 0.500 1
Cd1 0.500 0.500 0.500 1
B1 0.000 0.000 0.000 1

***

# 7
# InSbF2, relaxed, DFT GGA-PBE
# size of the total moment = 0.0 Bohr magnetons per cell
# formation energy without anion corrections = -1170 meV per atom
# calculated volume = 20.14 A^3/atom
# density of states at the Fermi level = 3.33 states/eV/cell
# uncorrected energy = -0.14041 hartree per atom
data_InSbF2
_chemical_formula_sum 'In4 Sb4 F8'
_cell_length_a 7.323
_cell_length_b 7.323
_cell_length_c 6.010
_cell_angle_alpha 90.00
_cell_angle_beta 90.00
_cell_angle_gamma 90.00
_space_group_name_H-M_alt 'I -4 2 d'
_space_group_IT_number 122
_space_group_name_Hall 'I -4 2bw'
loop_
_atom_site_label
_atom_site_fract_x
_atom_site_fract_y
_atom_site_fract_z
_atom_site_occupancy
In1 0.000 0.000 0.000 1
Sb1 0.000 0.000 0.500 1
F1 0.136 0.250 0.125 1

***

# 8
# NdZnGa2Pd2, relaxed, DFT GGA-PBE
# size of the total moment = 0.0 Bohr magnetons per cell
# ΔH_f (0 K) = -675 meV/atom
# calculated volume = 18.70 A^3/atom
# density of states at the Fermi level = 4.00 states/eV/cell
# uncorrected energy = -0.16250 hartree per atom
data_NdZnGa2Pd2
_chemical_formula_sum 'Nd1 Zn1 Ga2 Pd2'
_cell_length_a 4.3428
_cell_length_b 4.3428
_cell_length_c 6.8678
_cell_angle_alpha 90.00
_cell_angle_beta 90.00
_cell_angle_gamma 120.00
_space_group_name_H-M_alt 'P -3 m 1'
_space_group_IT_number 164
_space_group_name_Hall '-P 3 2"'
loop_
_atom_site_label
_atom_site_fract_x
_atom_site_fract_y
_atom_site_fract_z
_atom_site_occupancy
Nd1 0.0000 0.0000 0.0000 1
Zn1 0.0000 0.0000 0.5000 1
Ga1 0.3333 0.6667 0.7321 1
Pd1 0.3333 0.6667 0.3486 1